Record 1
Below is crystalline La2Pr8Tm at its relaxed geometry, with properties calculated at the PBE-GGA level.

Total energy, eV/cell: -52.4
Symmetry: C2/m
ΔH_f (0 K), kJ per mole of atoms: 1
Volume, A^3/atom: 35.85

POSCAR file:
```
La2Pr8Tm
1.0
-2.2550 2.0055 -4.2874
1.8407 -6.8845 -4.1883
-7.3830 -2.5852 5.8796
La Pr Tm
2 8 1
Cartesian
-5.1077 -2.3698 -1.6278 La
-2.6895 -5.0945 -0.9684 La
-5.9716 -5.0835 0.7630 Pr
-2.5204 -5.8214 -4.6031 Pr
-5.8223 -5.8120 -2.8621 Pr
-8.3820 -2.3006 0.1267 Pr
-1.9749 -1.6522 0.2659 Pr
-5.2769 -1.6429 2.0069 Pr
-1.8256 -2.3807 -3.3592 Pr
0.5848 -5.1636 -2.7229 Pr
-1.1275 1.0027 -2.1437 Tm
```

Record 2
Below is crystalline La2Pr6Tm3 at its relaxed geometry, with properties calculated at the PBE-GGA level.

Total energy, eV/cell: -47.1
Symmetry: I4/mmm
ΔH_f (0 K), kJ per mole of atoms: 43
Volume, A^3/atom: 37.19

POSCAR file:
```
La2Pr6Tm3
1.0
-1.2862 2.6125 4.9995
-5.5389 -1.5555 -0.6121
5.6681 -10.9270 3.8203
La Pr Tm
2 6 3
Cartesian
1.9875 -9.1628 5.2993 La
-3.1445 -0.7072 2.9083 La
-2.3338 -2.7862 0.8556 Pr
-0.2074 -0.7023 3.6613 Pr
1.1768 -7.0838 7.3521 Pr
-0.9496 -9.1677 4.5463 Pr
-2.4894 -3.7271 4.6549 Pr
1.3325 -6.1429 3.5527 Pr
0.0000 0.0000 0.0000 Tm
-1.8687 -6.5888 6.3100 Tm
0.7117 -3.2812 1.8977 Tm
```

Record 3
Below is crystalline La2Pr7Tm at its relaxed geometry, with properties calculated at the PBE-GGA level.

Total energy, eV/cell: -46.4
Symmetry: Cmmm
ΔH_f (0 K), kJ per mole of atoms: 13
Volume, A^3/atom: 36.03

POSCAR file:
```
La2Pr7Tm
1.0
3.5337 0.0000 0.0000
0.0000 14.4528 -4.8605
0.0000 -10.8582 10.7055
La Pr Tm
2 7 1
Cartesian
1.7668 6.9468 -0.2444 La
1.7668 -3.3522 6.0894 La
0.0000 9.6651 -1.9162 Pr
0.0000 -6.0705 7.7612 Pr
1.7668 -1.6049 2.9357 Pr
1.7668 5.1995 2.9092 Pr
1.7668 3.3440 -0.1078 Pr
1.7668 0.2506 5.9528 Pr
1.7668 1.7973 2.9225 Pr
0.0000 0.0000 0.0000 Tm
```

Record 4
Below is crystalline LaPr6Tm3 at its relaxed geometry, with properties calculated at the PBE-GGA level.

Total energy, eV/cell: -44.8
Symmetry: R32
ΔH_f (0 K), kJ per mole of atoms: 21
Volume, A^3/atom: 35.20

POSCAR file:
```
LaPr6Tm3
1.0
8.8458 0.0000 4.6942
3.1774 8.2554 4.6942
2.1990 1.5099 6.5379
La Pr Tm
1 6 3
Cartesian
11.4794 7.8821 10.4130 La
10.4292 5.1486 8.8540 Pr
5.5662 7.8838 7.2700 Pr
6.4261 2.3628 5.7146 Pr
3.6750 4.5109 7.4483 Pr
8.4237 1.8095 8.9840 Pr
7.6090 7.2116 10.5200 Pr
6.5669 4.5090 8.9886 Tm
7.8990 5.4237 6.4783 Tm
3.0361 2.0847 4.9603 Tm
```

Record 5
Below is crystalline LaPr5Tm2 at its relaxed geometry, with properties calculated at the PBE-GGA level.

Total energy, eV/cell: -37.5
Symmetry: Immm
ΔH_f (0 K), kJ per mole of atoms: 3
Volume, A^3/atom: 35.11

POSCAR file:
```
LaPr5Tm2
1.0
-1.0240 -0.0064 -3.4835
7.8188 -8.0338 -2.2837
-7.9490 -0.7945 4.2369
La Pr Tm
1 5 2
Cartesian
0.0000 0.0000 0.0000 La
3.9094 -4.0169 -1.1419 Pr
0.3990 -3.4595 -2.0004 Pr
-1.5533 -5.3751 0.4701 Pr
3.9788 -7.1377 -3.0460 Pr
-5.1331 -1.6969 1.5157 Pr
1.5650 -6.4972 -0.4432 Tm
-2.7193 -2.3374 -1.0872 Tm
```

Record 6
Below is crystalline La4Pr2Tm5 at its relaxed geometry, with properties calculated at the PBE-GGA level.

Total energy, eV/cell: -50.2
Symmetry: C2/m
ΔH_f (0 K), kJ per mole of atoms: 12
Volume, A^3/atom: 34.33

POSCAR file:
```
La4Pr2Tm5
1.0
3.5411 0.0000 0.0000
0.0000 8.5778 -1.7632
-1.7705 -5.3199 13.5271
La Pr Tm
4 2 5
Cartesian
1.7705 3.1733 1.5717 La
0.0000 5.9254 -0.1922 La
0.0000 0.0846 10.1922 La
1.7705 -2.6676 11.9560 La
1.7705 2.9728 5.0148 Pr
0.0000 0.2851 6.7491 Pr
0.0000 5.7708 3.4896 Tm
1.7705 -2.5130 8.2742 Tm
0.0000 0.4245 3.1669 Tm
1.7705 0.0000 0.0000 Tm
1.7705 2.8334 8.5970 Tm
```